Below is a relaxed structure of PaNi4Pd3O12, with properties calculated at the PBE+U level.

Unit cell a=7.4702 b=7.4702 c=7.4702 alpha=90.00 beta=90.00 gamma=90.00
Closest atoms and distances in Å follow each position.
Space group Im-3 (No. 204)
Inequivalent atoms, fractional coordinates:
Pa (0.0000, 0.0000, 0.0000) (multiplicity 2)  12 O 2.51
Ni (0.2500, 0.2500, 0.2500) (multiplicity 8)  6 O 1.98
Pd (0.0000, 0.0000, 0.5000) (multiplicity 6)  4 O 2.02
O (0.0000, 0.2902, 0.1697) (multiplicity 24)  2 Ni 1.98, 1 Pd 2.02

Computed properties:
raw total energy: -5.81 eV/atom